(1)
First-principles (PBE-GGA) data for a relaxed KZrSnS3 crystal, as listed in OQMD via LeMat-Bulk.

Unit cell a=8.501 b=8.501 c=10.940 alpha=90.00 beta=90.00 gamma=155.33
Atoms (fractional coordinates):
K 0.830 0.170 0.750
K 0.170 0.830 0.250
S 0.504 0.496 0.750
S 0.496 0.504 0.250
S 0.891 0.109 0.003
S 0.109 0.891 0.997
S 0.891 0.109 0.497
S 0.109 0.891 0.503
Zr 0.500 0.500 0.500
Zr 0.500 0.500 0.000
Sn 0.868 0.132 0.250
Sn 0.132 0.868 0.750

For the total energy, the calculation gives -5.347 eV/atom.



(2)
First-principles (PBE-GGA) data for a relaxed Li2CoSi2Ni2Pt crystal, as listed in OQMD via LeMat-Bulk.

Unit cell a=3.945 b=3.945 c=5.729 alpha=90.00 beta=90.00 gamma=90.00
Last column: magnetic moment on the atom in μB.
Atoms (fractional coordinates):
Si 0.500 0.000 0.230  0.00
Si 0.000 0.500 0.770  0.00
Ni 0.000 0.000 0.500  0.05
Ni 0.500 0.500 0.000  0.08
Pt 0.500 0.500 0.500  0.01
Li 0.500 0.000 0.760  0.00
Li 0.000 0.500 0.240  0.00
Co 0.000 0.000 0.000  0.34

For the total energy, the calculation gives -5.418 eV/atom.



(3)
First-principles (PBE-GGA) data for a relaxed GdHoFe2Pb crystal, as listed in OQMD via LeMat-Bulk.

Unit cell a=3.828 b=7.412 c=7.412 alpha=30.64 beta=90.00 gamma=90.00
Last column: magnetic moment on the atom in μB.
Atoms (fractional coordinates):
Gd 0.500 0.638 0.638  -0.24
Fe 0.000 0.207 0.207  1.86
Fe 0.000 0.795 0.795  1.88
Ho 0.500 0.362 0.362  -0.27
Pb 0.000 0.999 0.999  -0.04

For the total energy, the calculation gives -6.106 eV/atom.



(4)
First-principles (PBE-GGA) data for a relaxed Nd2SCl4 crystal, as listed in OQMD via LeMat-Bulk.

Unit cell a=8.351 b=8.351 c=7.130 alpha=97.45 beta=97.45 gamma=45.97
Atoms (fractional coordinates):
Cl 0.140 0.302 0.319
Cl 0.479 0.696 0.427
Cl 0.521 0.304 0.573
Cl 0.860 0.698 0.681
Cl 0.302 0.140 0.819
Cl 0.698 0.860 0.181
Cl 0.304 0.521 0.073
Cl 0.696 0.479 0.927
Nd 0.315 0.899 0.077
Nd 0.685 0.101 0.923
Nd 0.101 0.685 0.423
Nd 0.899 0.315 0.577
S 0.935 0.065 0.250
S 0.065 0.935 0.750

For the total energy, the calculation gives -5.238 eV/atom.



(5)
First-principles (PBE-GGA) data for a relaxed ZnH crystal, as listed in OQMD via LeMat-Bulk.

Unit cell a=3.121 b=3.121 c=3.121 alpha=60.00 beta=60.00 gamma=60.00
Atoms (fractional coordinates):
H 0.000 0.000 0.000
Zn 0.250 0.250 0.250

For the total energy, the calculation gives -1.851 eV/atom.



(6)
First-principles (PBE-GGA) data for a relaxed RbBaTmTe3 crystal, as listed in OQMD via LeMat-Bulk.

Unit cell a=14.226 b=4.594 c=14.992 alpha=90.00 beta=90.00 gamma=90.00
Atoms (fractional coordinates):
Te 0.121 0.750 0.899
Te 0.621 0.750 0.601
Te 0.379 0.250 0.399
Te 0.868 0.250 0.374
Te 0.394 0.250 0.746
Te 0.106 0.750 0.246
Te 0.368 0.250 0.126
Te 0.606 0.750 0.254
Te 0.894 0.250 0.754
Te 0.879 0.250 0.101
Te 0.132 0.750 0.626
Te 0.632 0.750 0.874
Ba 0.371 0.750 0.581
Ba 0.871 0.750 0.919
Ba 0.129 0.250 0.081
Ba 0.629 0.250 0.419
Rb 0.380 0.750 0.929
Rb 0.620 0.250 0.071
Rb 0.120 0.250 0.429
Rb 0.880 0.750 0.571
Tm 0.400 0.750 0.257
Tm 0.600 0.250 0.743
Tm 0.100 0.250 0.757
Tm 0.900 0.750 0.243

As for the polymorph energy (0 for the lowest one): 0.0000 eV per atom.



(7)
First-principles (PBE-GGA) data for a relaxed BeCuSnOs crystal, as listed in OQMD via LeMat-Bulk.

Unit cell a=4.292 b=4.292 c=4.292 alpha=60.00 beta=60.00 gamma=60.00
Atoms (fractional coordinates):
Sn 0.000 0.000 0.000
Be 0.250 0.250 0.250
Cu 0.750 0.750 0.750
Os 0.500 0.500 0.500

As for the polymorph energy (0 for the lowest one): 0.1280 eV per atom.



(8)
First-principles (PBE-GGA) data for a relaxed LiPrCdS3 crystal, as listed in OQMD via LeMat-Bulk.

Unit cell a=11.320 b=4.129 c=12.839 alpha=90.00 beta=90.00 gamma=90.00
Atoms (fractional coordinates):
S 0.525 0.750 0.107
S 0.975 0.250 0.607
S 0.784 0.750 0.824
S 0.588 0.250 0.599
S 0.475 0.250 0.893
S 0.284 0.750 0.676
S 0.912 0.750 0.099
S 0.088 0.250 0.901
S 0.716 0.250 0.324
S 0.025 0.750 0.393
S 0.412 0.750 0.401
S 0.216 0.250 0.176
Cd 0.282 0.250 0.803
Cd 0.218 0.750 0.303
Cd 0.718 0.750 0.197
Cd 0.782 0.250 0.697
Li 0.381 0.250 0.525
Li 0.881 0.250 0.975
Li 0.119 0.750 0.025
Li 0.619 0.750 0.475
Pr 0.967 0.250 0.262
Pr 0.033 0.750 0.738
Pr 0.467 0.250 0.238
Pr 0.533 0.750 0.762

As for the polymorph energy (0 for the lowest one): 0.0000 eV per atom.



(9)
First-principles (PBE-GGA) data for a relaxed LiHfSiNi crystal, as listed in OQMD via LeMat-Bulk.

Unit cell a=4.280 b=4.280 c=4.280 alpha=60.00 beta=60.00 gamma=60.00
Atoms (fractional coordinates):
Li 0.500 0.500 0.500
Hf 0.250 0.250 0.250
Ni 0.750 0.750 0.750
Si 0.000 0.000 0.000

As for the polymorph energy (0 for the lowest one): 0.1862 eV per atom.



(10)
First-principles (PBE-GGA) data for a relaxed HgTePdO crystal, as listed in OQMD via LeMat-Bulk.

Unit cell a=4.054 b=4.054 c=9.064 alpha=90.00 beta=90.00 gamma=90.00
Atoms (fractional coordinates):
Hg 0.250 0.750 0.000
Hg 0.750 0.250 0.000
Te 0.250 0.250 0.319
Te 0.750 0.750 0.681
Pd 0.250 0.250 0.763
Pd 0.750 0.750 0.237
O 0.250 0.250 0.526
O 0.750 0.750 0.474

As for the polymorph energy (0 for the lowest one): 0.1589 eV per atom.



(11)
First-principles (PBE-GGA) data for a relaxed Dy3Tm2ScBi2Os crystal, as listed in OQMD via LeMat-Bulk.

Unit cell a=4.242 b=8.158 c=8.158 alpha=120.04 beta=90.00 gamma=90.00
Atoms (fractional coordinates):
Dy 0.500 0.610 0.610
Dy 0.500 0.386 0.003
Dy 0.500 0.003 0.386
Sc 0.000 0.226 0.226
Tm 0.000 0.771 0.001
Tm 0.000 0.001 0.771
Bi 0.000 0.662 0.332
Bi 0.000 0.332 0.662
Os 0.500 0.010 0.010

For the total energy, the calculation gives -5.964 eV/atom.



(12)
First-principles (PBE-GGA) data for a relaxed Hf4BiAsN2 crystal, as listed in OQMD via LeMat-Bulk.

Unit cell a=3.409 b=3.409 c=13.073 alpha=90.00 beta=90.00 gamma=120.00
Atoms (fractional coordinates):
Bi 0.333 0.667 0.000
N 0.667 0.333 0.267
N 0.667 0.333 0.733
As 0.000 0.000 0.500
Hf 0.000 0.000 0.179
Hf 0.000 0.000 0.821
Hf 0.333 0.667 0.357
Hf 0.333 0.667 0.643

For the total energy, the calculation gives -9.194 eV/atom.